Here is MnGePCN after structural relaxation from the Alexandria database. Energies are from PBE.

Values from the calculation:
polymorph energy (0 for the lowest one) = 0.451 eV per formula unit
uncorrected formation energy = 0.92 eV/f.u.
DFT total energy = -7.17 eV/atom

Lattice parameters (Å, degrees): 4.178 2.623 12.339 90.00 109.73 90.00
Each line ends with the local moment (μB).
Atoms (fractional coordinates):
1 Mn 0.655 0.000 0.659  0.69
2 Mn 0.655 0.500 0.159  0.69
3 N 0.318 0.000 0.168  0.00
4 N 0.318 0.500 0.668  0.00
5 P 0.876 0.000 0.859  -0.02
6 P 0.876 0.500 0.359  -0.02
7 C 0.019 0.000 0.166  -0.02
8 C 0.019 0.500 0.666  -0.02
9 Ge 0.488 0.000 0.969  -0.03
10 Ge 0.488 0.500 0.469  -0.03

***

Here is Tb15Pr4Y after structural relaxation from the Alexandria database. Energies are from PBE.

Values from the calculation:
DFT total energy = -4.73 eV/atom
ΔE_f = 18 meV per atom

Lattice parameters (Å, degrees): 5.089 5.089 25.344 90.00 90.00 90.00
Atoms (fractional coordinates):
1 Tb 0.500 0.000 0.901
2 Tb 0.500 0.000 0.500
3 Tb 0.500 0.500 0.600
4 Tb 0.500 0.000 0.701
5 Tb 0.000 0.500 0.500
6 Tb 0.000 0.500 0.901
7 Tb 0.000 0.500 0.299
8 Tb 0.500 0.500 0.400
9 Tb 0.000 0.500 0.099
10 Tb 0.500 0.500 0.000
11 Tb 0.000 0.500 0.701
12 Tb 0.500 0.000 0.299
13 Tb 0.500 0.000 0.099
14 Tb 0.500 0.500 0.801
15 Tb 0.500 0.500 0.199
16 Pr 0.000 0.000 0.801
17 Pr 0.000 0.000 0.600
18 Pr 0.000 0.000 0.400
19 Pr 0.000 0.000 0.199
20 Y 0.000 0.000 0.000

***

Here is KTaS3 after structural relaxation from the Alexandria database. Energies are from PBE.

Values from the calculation:
polymorph energy (0 for the lowest one) = 0.108 eV per formula unit
uncorrected formation energy = -5.50 eV/f.u.
DFT total energy = -6.17 eV/atom

Lattice parameters (Å, degrees): 7.434 7.434 7.434 102.80 98.92 128.57
Atoms (fractional coordinates):
1 S 0.178 0.382 0.297
2 S 0.578 0.218 0.213
3 S 0.578 0.865 0.860
4 S 0.085 0.882 0.703
5 S 0.005 0.365 0.787
6 S 0.005 0.718 0.140
7 K 0.728 0.877 0.351
8 K 0.526 0.377 0.649
9 Ta 0.246 0.817 0.929
10 Ta 0.888 0.317 0.071

***

Magnetic moment? In order: 0.6 0.0 0.0 μB/f.u..